1.
A relaxed ErAuSeO crystal, computed with PBE-GGA.

Values from the calculation:
Space-group type: No. 54
Size of the total moment (μB per formula unit): 0.0
ρ (g/cm3): 10.33
Polymorph energy (0 for the lowest one) (kJ per mole of atoms): 2.2

Geometry as POSCAR:
```
ErAuSeO
1.0
5.522 0.000 0.000
0.000 9.581 0.000
0.000 0.000 5.581
O Au Er Se
4 4 4 4
Direct
0.250 0.000 0.498
0.250 0.000 0.998
0.750 0.000 0.002
0.750 0.000 0.502
0.250 0.500 0.311
0.750 0.500 0.689
0.750 0.500 0.189
0.250 0.500 0.811
0.500 0.113 0.250
0.000 0.887 0.250
0.000 0.113 0.750
0.500 0.887 0.750
0.000 0.277 0.250
0.500 0.277 0.750
0.500 0.723 0.250
0.000 0.723 0.750
```

2.
A relaxed InCoAgTeSe2 crystal, computed with PBE-GGA.

Values from the calculation:
Space-group type: No. 63
Total energy (eV/atom): -3.9471
Size of the total moment (μB per formula unit): 0.0
ρ (g/cm3): 6.95

Geometry as POSCAR:
```
InCoAgTeSe2
1.0
1.737 -7.430 0.000
1.737 7.430 0.000
0.000 0.000 10.495
Se In Co Te Ag
4 2 2 2 2
Direct
0.609 0.391 0.004
0.391 0.609 0.504
0.609 0.391 0.496
0.391 0.609 0.996
0.312 0.688 0.250
0.688 0.312 0.750
0.000 0.000 0.000
0.000 0.000 0.500
0.010 0.990 0.750
0.990 0.010 0.250
0.661 0.339 0.250
0.339 0.661 0.750
```

3.
A relaxed ZrTa3Co2 crystal, computed with PBE-GGA.

Values from the calculation:
Space-group type: No. 42
Energy of formation from the pure elements (eV/atom): -0.214
Size of the total moment (μB per formula unit): 0.0
ρ (g/cm3): 12.88

Geometry as POSCAR:
```
ZrTa3Co2
1.0
0.000 4.400 4.330
2.543 0.000 4.330
2.543 4.400 0.000
Co Ta Zr
2 3 1
Direct
0.252 0.252 0.248
0.752 0.752 0.748
0.838 0.162 0.838
0.162 0.838 0.162
0.335 0.335 0.665
0.662 0.662 0.338
```

4.
A relaxed Dy4O5 crystal, computed with PBE-GGA.

Values from the calculation:
Space-group type: No. 123
Total energy (eV/atom): -7.6903
Size of the total moment (μB per formula unit): 1.3
ρ (g/cm3): 8.48

Geometry as POSCAR:
```
Dy4O5
1.0
-8.297 -2.584 -4.007
0.373 -3.538 1.509
-1.889 1.152 3.168
Dy O
4 5
Direct
0.500 0.000 0.000
0.242 0.500 0.500
0.758 0.500 0.500
0.000 0.000 0.000
0.857 0.500 0.000
0.143 0.500 0.000
0.500 0.500 0.500
0.857 0.000 0.500
0.143 0.000 0.500
```

5.
A relaxed Nd2Ho2CBr4F crystal, computed with PBE-GGA.

Values from the calculation:
Space-group type: No. 12
Total energy (eV/atom): -5.2717
Size of the total moment (μB per formula unit): 0.0
ρ (g/cm3): 6.42

Geometry as POSCAR:
```
Nd2Ho2CBr4F
1.0
-0.523 8.188 -4.108
-1.740 5.885 -6.822
-6.772 -0.364 3.346
Ho Br C F Nd
2 4 1 1 2
Direct
0.635 0.635 0.071
0.365 0.365 0.929
0.834 0.834 0.646
0.175 0.175 0.822
0.825 0.825 0.178
0.166 0.166 0.354
0.500 0.500 0.000
0.500 0.500 0.500
0.998 0.998 0.235
0.002 0.002 0.765
```

6.
A relaxed ThTc4B4 crystal, computed with PBE-GGA.

Values from the calculation:
Space-group type: No. 86
Total energy (eV/atom): -8.8214
Size of the total moment (μB per formula unit): 0.0
ρ (g/cm3): 9.42

Geometry as POSCAR:
```
ThTc4B4
1.0
7.522 0.000 0.000
0.000 7.522 0.000
0.000 0.000 4.158
B Th Tc
8 2 8
Direct
0.292 0.169 0.382
0.208 0.331 0.118
0.708 0.831 0.382
0.169 0.708 0.618
0.831 0.292 0.618
0.669 0.208 0.882
0.331 0.792 0.882
0.792 0.669 0.118
0.000 0.000 0.000
0.500 0.500 0.500
0.359 0.888 0.380
0.388 0.141 0.880
0.612 0.859 0.880
0.888 0.641 0.620
0.641 0.112 0.380
0.112 0.359 0.620
0.859 0.388 0.120
0.141 0.612 0.120
```

7.
A relaxed LaMgIr crystal, computed with PBE-GGA.

Values from the calculation:
Space-group type: No. 62
Total energy (eV/atom): -5.7446
Size of the total moment (μB per formula unit): 0.0
ρ (g/cm3): 8.72

Geometry as POSCAR:
```
LaMgIr
1.0
-5.276 1.771 -4.734
-1.998 -3.616 0.874
-4.432 4.003 6.436
La Mg Ir
4 4 4
Direct
0.535 0.250 0.180
0.035 0.250 0.320
0.965 0.750 0.680
0.465 0.750 0.820
0.867 0.750 0.057
0.367 0.750 0.443
0.633 0.250 0.557
0.133 0.250 0.943
0.254 0.250 0.629
0.746 0.750 0.371
0.246 0.750 0.129
0.754 0.250 0.871
```

8.
A relaxed GdY2As3 crystal, computed with PBE-GGA.

Values from the calculation:
Space-group type: No. 164
Total energy (eV/atom): -6.8077
Size of the total moment (μB per formula unit): 0.0
ρ (g/cm3): 6.21

Geometry as POSCAR:
```
GdY2As3
1.0
-3.246 1.786 -1.832
0.626 -4.065 -0.409
-5.588 -1.689 8.254
As Gd Y
3 1 2
Direct
0.667 0.333 0.668
0.333 0.667 0.332
0.000 0.000 0.000
0.000 0.000 0.500
0.333 0.667 0.834
0.667 0.333 0.166
```